LaCu2Ag2: relaxed, PBEsol.

Properties
- energy (eV per cell) = -21.2

Lattice parameters (Å, degrees): 6.4184 6.4184 6.4184 143.56 143.56 52.48
Last column: nearest neighbours and their distance in Å.
Atoms (fractional coordinates):
1 La 0.0000 0.0000 0.0000  8 Cu 3.08
2 Cu 0.3968 0.3968 0.0000  1 Cu 2.38, 4 Ag 2.62
3 Cu 0.6032 0.6032 0.0000  1 Cu 2.38, 4 Ag 2.62
4 Ag 0.2500 0.7500 0.5000  4 Cu 2.62, 4 Ag 2.84
5 Ag 0.7500 0.2500 0.5000  4 Cu 2.62, 4 Ag 2.84